A relaxed LaCo2CF crystal. Source: the Alexandria database, functional GGA+U.

Unit cell a=3.6103 b=5.2528 c=3.6103 alpha=90.00 beta=90.00 gamma=90.00
With the nearest neighbours (Å) after each atom.
Positions (direct):
F: 0.0000 0.5000 0.0000  4 La 2.55, 2 C 2.63
Co: 0.0000 0.0000 0.5000  2 C 1.81
Co: 0.5000 0.0000 0.0000  2 C 1.81
La: 0.5000 0.5000 0.5000  4 F 2.55
C: 0.0000 0.0000 0.0000  4 Co 1.81

Summary:
space-group type = P4/mmm, No. 123
M_tot = 0.000 μB/atom
N(E_F) = 0.19 states/eV per atom
E_tot = -5.7378 eV/atom